(1)
The following is a DFT calculation (GGA-PBE) of a relaxed structure of Ac2TbOs.

abc: 4.381 5.555 12.220
angles: 90.00 90.00 90.00
Space group Immm (No. 71)
Asymmetric unit:
Ac 0.000 0.000 0.160 (multiplicity 4)
Tb 0.000 0.000 0.500 (multiplicity 2)
Os 0.000 0.500 0.500 (multiplicity 2)

Computed properties:
**Calculated volume**: 37.18 Å³ per atom
**Energy of formation from the pure elements**: -61 meV/atom
**Total moment**: 0.000 μB per cell
**N(E_F)**: 0.805 states/eV/atom



(2)
The following is a DFT calculation (GGA-PBE) of a relaxed structure of NaPr2US5.

abc: 5.021 7.124 14.112
angles: 90.00 90.00 90.00
Space group Immm (No. 71)
Asymmetric unit:
Na 0.000 0.000 0.000 (multiplicity 2)
Pr 0.000 0.500 0.203 (multiplicity 4)
U 0.000 0.000 0.500 (multiplicity 2)
S 0.000 0.240 0.352 (multiplicity 8)
S 0.000 0.500 0.000 (multiplicity 2)

Computed properties:
**Calculated volume**: 28.04 Å³ per atom
**Total moment**: 4.888 μB per cell
**Raw formation energy**: -150 kJ/mol of atoms
**N(E_F)**: 0.743 states/eV/atom



Q: Which of these has the lowest total moment?
A: Ac2TbOs



Q: Which value of N(E_F) does entry 1 give?
A: 0.805 states/eV/atom



Q: Number 2 is which compound?
A: NaPr2US5



Q: Which of these has the lowest calculated volume?
A: NaPr2US5